Record 1
First-principles (GGA-PBE) data for an optimized crystal structure of ThAlZn2Cu, as listed in Alexandria via LeMat-Bulk.

Computed properties:
Calculated total energy, eV/f.u.: -19.4
Symmetry: Imm2, No. 44
Calculated volume, Å³ per atom: 18.634
Energy of formation from the pure elements, eV/atom: -0.32
Magnetization, μB/cell: 0.0
DOS at the Fermi energy, states/eV/f.u.: 3.8

Cell: 6.0261 6.0261 6.0261 Å, 139.12 138.93 59.34°
Closest atoms and distances in Å follow each position.
Fractional positions:
Th 0.0000 0.0000 0.0000  8 Zn 3.20-3.37, 4 Cu 3.24, 4 Al 3.34-3.38
Al 0.2529 0.7529 0.5000  2 Cu 2.48, 2 Zn 2.59
Zn 0.6098 0.6098 0.0000  1 Cu 2.42, 2 Zn 2.57, 2 Al 2.59
Zn 0.7507 0.2507 0.5000  2 Cu 2.50, 2 Zn 2.57
Cu 0.3783 0.3783 0.0000  3 Zn 2.42-2.50, 2 Al 2.48

***

Record 2
First-principles (GGA-PBE) data for an optimized crystal structure of K2RbHgPd, as listed in Alexandria via LeMat-Bulk.

Computed properties:
ΔE to the lowest computed polymorph, meV/atom: 90
Calculated total energy, eV/f.u.: -8.5
Symmetry: P4/mmm, No. 123
Calculated volume, Å³ per atom: 45.857
Energy of formation from the pure elements, eV/atom: 0.04
Magnetization, μB/cell: 0.0
DOS at the Fermi energy, states/eV/f.u.: 2.5

Cell: 6.5738 6.5738 5.3058 Å, 90.00 90.00 90.00°
Closest atoms and distances in Å follow each position.
Fractional positions:
K 0.0000 0.5000 0.0000  2 Hg 3.29
K 0.5000 0.0000 0.0000  2 Hg 3.29
Rb 0.0000 0.0000 0.5000  8 K 4.22, 4 Pd 4.65
Hg 0.5000 0.5000 0.0000  2 Pd 2.65
Pd 0.5000 0.5000 0.5000  2 Hg 2.65

***

Record 3
First-principles (GGA-PBE) data for an optimized crystal structure of Zn3FeAs, as listed in Alexandria via LeMat-Bulk.

Computed properties:
ΔE to the lowest computed polymorph, meV/atom: 245
Calculated total energy, eV/f.u.: -12.3
Symmetry: Pm-3m, No. 221
Calculated volume, Å³ per atom: 22.483
Energy of formation from the pure elements, eV/atom: 0.92
Magnetization, μB/cell: 3.4
DOS at the Fermi energy, states/eV/f.u.: 9.9

Cell: 4.8263 4.8263 4.8263 Å, 90.00 90.00 90.00°
Closest atoms and distances in Å follow each position.
Fractional positions:
Zn 0.0000 0.0000 0.5000  2 As 2.41
Zn 0.0000 0.5000 0.0000  2 As 2.41
Zn 0.5000 0.0000 0.0000  2 As 2.41
Fe 0.5000 0.5000 0.5000  12 Zn 3.41
As 0.0000 0.0000 0.0000  6 Zn 2.41